(1)
Sr3LiNd2Te6 PBE-GGA optimized geometry; DOS(E_F) = 0.323 states/eV/atom; symmetry = C2/m; size of the total moment = 0.00 μB/cell; formation energy from raw total energies = -18.25 eV per formula unit
1.0
-3.6969 5.0913 -4.8576
-3.5245 -6.8327 2.0190
-0.7427 3.9710 6.9044
Sr Li Nd Te
3 1 2 6
Cartesian
-3.9248 -2.8447 4.3163 Sr
-4.0393 5.0743 -0.2506 Sr
-3.9821 1.1148 2.0329 Sr
0.0000 0.0000 0.0000 Li
-3.5821 -2.8515 -0.2770 Nd
-3.6394 1.1101 -2.5617 Nd
-6.0689 3.6833 2.0069 Te
-5.5862 -0.3700 -0.5016 Te
-1.8952 -1.4537 2.0589 Te
-6.0122 -0.2388 4.2687 Te
-2.3780 2.5996 4.5674 Te
-1.9519 2.4683 -0.2030 Te

(2)
SrLiNdTe3 PBE-GGA optimized geometry; symmetry = P2_1/m; size of the total moment = 0.00 μB/cell; formation energy from raw total energies = -8.55 eV per formula unit
1.0
-1.7386 3.7073 1.8911
3.2201 -2.7491 8.3497
7.4632 5.3193 -3.5663
Sr Li Nd Te
2 2 2 6
Cartesian
1.9189 1.6836 1.1530 Sr
7.0258 4.5939 5.5215 Sr
4.2121 3.8130 -0.9131 Li
4.7325 2.4645 7.5875 Li
2.9602 -0.0303 5.4702 Nd
5.9844 6.3078 1.2042 Nd
2.5516 0.9976 8.4580 Te
6.3931 5.2799 -1.7835 Te
5.7617 1.4035 5.2351 Te
3.1830 4.8740 1.4394 Te
1.3551 2.4998 4.4131 Te
7.5896 3.7777 2.2614 Te

(3)
SrLiNdTl PBE-GGA optimized geometry; E_form = -0.73 eV per formula unit; DOS(E_F) = 0.900 states/eV/atom; symmetry = F-43m; size of the total moment = 0.00 μB/cell
1.0
5.6057 0.0000 0.0000
2.8028 4.8547 0.0000
2.8028 1.6182 4.5770
Sr Tl Nd Li
1 1 1 1
Cartesian
2.8028 1.6182 1.1443 Sr
5.6057 3.2364 2.2885 Tl
8.4085 4.8547 3.4328 Nd
0.0000 0.0000 0.0000 Li

(4)
SrLiNd2Tl4 PBE-GGA optimized geometry; E_form = -2.63 eV per formula unit; DOS(E_F) = 0.616 states/eV/atom; symmetry = R-3m; size of the total moment = 0.00 μB/cell
1.0
-3.4877 -3.7900 -1.7476
-0.6201 -4.6225 2.7984
-8.0717 1.0857 5.2905
Sr Li Nd Tl
1 1 2 4
Cartesian
0.0000 0.0000 0.0000 Sr
-6.0897 -3.6634 3.1706 Li
-8.9977 -5.5745 4.6550 Nd
-3.1818 -1.7522 1.6862 Nd
-8.4493 -2.2940 4.9098 Tl
-6.6576 -6.9326 2.9302 Tl
-5.5219 -0.3941 3.4110 Tl
-3.7302 -5.0328 1.4314 Tl

(5)
SrLi2NdTl4 PBE-GGA optimized geometry; E_form = -2.52 eV per formula unit; DOS(E_F) = 0.493 states/eV/atom; symmetry = R-3m; size of the total moment = 0.00 μB/cell
1.0
-2.0595 4.6489 1.6818
-2.7963 0.1952 4.5634
5.7337 3.2676 6.5162
Sr Li Nd Tl
1 2 1 4
Cartesian
0.0000 0.0000 0.0000 Sr
0.6446 6.0807 9.5627 Li
0.2333 2.0310 3.1987 Li
0.4390 4.0558 6.3807 Nd
3.1637 4.6684 8.0241 Tl
-2.0557 5.4736 7.9340 Tl
2.9337 2.6381 4.8274 Tl
-2.2857 3.4433 4.7373 Tl

(6)
Sr3Li2Nd2Tl4 PBE-GGA optimized geometry; E_form = -2.02 eV per formula unit; DOS(E_F) = 1.009 states/eV/atom; symmetry = P-3m1; size of the total moment = 0.00 μB/cell
1.0
5.3388 0.0000 0.0000
-2.6694 4.6235 0.0000
0.0000 0.0000 14.8723
Sr Li Nd Tl
3 2 2 4
Cartesian
0.0000 0.0000 11.0324 Sr
0.0000 0.0000 0.0000 Sr
0.0000 0.0000 3.8399 Sr
2.6694 1.5412 12.7271 Li
0.0000 3.0824 2.1452 Li
2.6694 1.5412 6.3704 Nd
0.0000 3.0824 8.5019 Nd
2.6694 1.5412 1.9925 Tl
0.0000 3.0824 12.8798 Tl
2.6694 1.5412 9.5924 Tl
0.0000 3.0824 5.2799 Tl

(7)
SrLi2Nd2Tl2 PBE-GGA optimized geometry; E_form = -1.43 eV per formula unit; DOS(E_F) = 0.797 states/eV/atom; symmetry = R-3m; size of the total moment = 0.00 μB/cell
1.0
4.9887 0.0000 0.0000
2.4943 4.3203 0.0000
2.4943 1.4401 9.6849
Sr Li Nd Tl
1 2 2 2
Cartesian
0.0000 0.0000 0.0000 Sr
4.9887 2.8802 2.1096 Li
4.9887 2.8802 7.5753 Li
2.4943 1.4401 5.9239 Nd
7.4830 4.3203 3.7609 Nd
7.4830 4.3203 7.3820 Tl
2.4943 1.4401 2.3028 Tl

(8)
LiNd2Ta PBE-GGA optimized geometry; E_form = 2.58 eV per formula unit; DOS(E_F) = 1.304 states/eV/atom; symmetry = R-3m; size of the total moment = 0.00 μB/cell
1.0
-1.5647 -0.7482 2.6990
-2.8725 -1.4207 -0.1523
3.8034 -11.4136 0.9479
Li Nd Ta
1 2 1
Cartesian
-0.3169 -6.7913 1.7473 Li
2.4921 -8.7598 0.9233 Nd
-3.1258 -4.8228 2.5712 Nd
0.0000 0.0000 0.0000 Ta